[1]
First-principles (PBE-GGA) data for Cs2DyPbI6 after structural relaxation, as listed in Alexandria.

Calculated values
VASP energy   -3.12 eV/atom

Cell: 7.958 8.595 8.722 Å, 116.63 102.58 93.08°
Sites, in units of the cell vectors:
Cs1 0.217 0.203 0.418
Cs2 0.783 0.797 0.582
Dy1 0.000 0.500 0.000
Pb1 0.500 0.000 0.000
I1 0.190 0.655 0.816
I2 0.191 0.184 0.870
I3 0.278 0.700 0.348
I4 0.722 0.300 0.652
I5 0.809 0.816 0.130
I6 0.810 0.345 0.184

***

[2]
First-principles (PBE-GGA) data for CsDyPbI6 after structural relaxation, as listed in Alexandria.

Calculated values
N(E_F)   0.00 states/eV/f.u.
VASP energy   -3.25 eV/atom

Cell: 8.201 8.201 8.460 Å, 90.00 90.00 120.00°
Sites, in units of the cell vectors:
Cs1 0.000 0.000 0.000
Dy1 0.667 0.333 0.500
Pb1 0.333 0.667 0.500
I1 0.384 0.019 0.713
I2 0.384 0.364 0.287
I3 0.636 0.019 0.287
I4 0.636 0.616 0.713
I5 0.981 0.364 0.713
I6 0.981 0.616 0.287

***

[3]
First-principles (PBE-GGA) data for Cs2DyPdI6 after structural relaxation, as listed in Alexandria.

Calculated values
N(E_F)   5.51 states/eV/f.u.
VASP energy   -3.23 eV/atom

Cell: 14.761 14.761 14.761 Å, 33.39 33.39 33.39°
Sites, in units of the cell vectors:
Cs1 0.121 0.121 0.121
Cs2 0.296 0.296 0.296
Cs3 0.704 0.704 0.704
Cs4 0.879 0.879 0.879
Dy1 0.417 0.417 0.417
Dy2 0.583 0.583 0.583
Pd1 0.000 0.000 0.000
Pd2 0.500 0.500 0.500
I1 0.128 0.626 0.626
I2 0.206 0.206 0.712
I3 0.206 0.712 0.206
I4 0.288 0.794 0.794
I5 0.374 0.374 0.872
I6 0.374 0.872 0.374
I7 0.626 0.128 0.626
I8 0.626 0.626 0.128
I9 0.712 0.206 0.206
I10 0.794 0.288 0.794
I11 0.794 0.794 0.288
I12 0.872 0.374 0.374

***

[4]
First-principles (PBE-GGA) data for CsRb2DyI6 after structural relaxation, as listed in Alexandria.

Calculated values
N(E_F)   0.00 states/eV/f.u.
VASP energy   -3.14 eV/atom

Cell: 9.431 9.431 9.431 Å, 57.45 57.45 57.45°
Sites, in units of the cell vectors:
Cs1 0.000 0.000 0.000
Rb1 0.286 0.286 0.286
Rb2 0.798 0.798 0.798
Dy1 0.490 0.490 0.490
I1 0.149 0.684 0.400
I2 0.265 0.595 0.825
I3 0.400 0.149 0.684
I4 0.595 0.825 0.265
I5 0.684 0.400 0.149
I6 0.825 0.265 0.595

***

[5]
First-principles (PBE-GGA) data for Cs2RbDyI6 after structural relaxation, as listed in Alexandria.

Calculated values
N(E_F)   0.00 states/eV/f.u.
VASP energy   -3.14 eV/atom

Cell: 8.723 13.044 10.078 Å, 90.00 90.00 90.00°
Sites, in units of the cell vectors:
Cs1 0.250 0.043 0.179
Cs2 0.250 0.457 0.179
Cs3 0.750 0.543 0.821
Cs4 0.750 0.957 0.821
Rb1 0.250 0.250 0.695
Rb2 0.750 0.750 0.305
Dy1 0.250 0.750 0.798
Dy2 0.750 0.250 0.202
I1 0.004 0.250 0.405
I2 0.012 0.750 0.020
I3 0.250 0.517 0.797
I4 0.250 0.983 0.797
I5 0.488 0.750 0.020
I6 0.496 0.250 0.405
I7 0.504 0.750 0.595
I8 0.512 0.250 0.980
I9 0.750 0.017 0.203
I10 0.750 0.483 0.203
I11 0.988 0.250 0.980
I12 0.996 0.750 0.595

***

[6]
First-principles (PBE-GGA) data for CsDyScI6 after structural relaxation, as listed in Alexandria.

Calculated values
N(E_F)   5.94 states/eV/f.u.
VASP energy   -3.65 eV/atom

Cell: 7.685 7.685 8.973 Å, 90.00 90.00 120.00°
Sites, in units of the cell vectors:
Cs1 0.000 0.000 0.000
Dy1 0.667 0.333 0.500
Sc1 0.333 0.667 0.500
I1 0.007 0.367 0.696
I2 0.007 0.640 0.304
I3 0.360 0.367 0.304
I4 0.360 0.993 0.696
I5 0.633 0.640 0.696
I6 0.633 0.993 0.304

***

[7]
First-principles (PBE-GGA) data for CsSr2DyI8 after structural relaxation, as listed in Alexandria.

Calculated values
N(E_F)   0.00 states/eV/f.u.
VASP energy   -3.29 eV/atom

Cell: 7.493 7.828 10.304 Å, 89.96 89.90 89.52°
Sites, in units of the cell vectors:
Cs1 0.000 0.000 0.000
Sr1 0.500 0.500 0.252
Sr2 0.500 0.500 0.748
Dy1 0.000 0.000 0.500
I1 0.239 0.842 0.704
I2 0.240 0.843 0.296
I3 0.247 0.323 0.500
I4 0.261 0.393 0.000
I5 0.739 0.607 0.000
I6 0.753 0.677 0.500
I7 0.760 0.157 0.704
I8 0.761 0.158 0.296

***

[8]
First-principles (PBE-GGA) data for CsDyTl2I6 after structural relaxation, as listed in Alexandria.

Calculated values
N(E_F)   0.00 states/eV/f.u.
VASP energy   -3.08 eV/atom

Cell: 9.290 9.290 9.290 Å, 56.28 56.28 56.28°
Sites, in units of the cell vectors:
Cs1 0.000 0.000 0.000
Dy1 0.485 0.485 0.485
Tl1 0.292 0.292 0.292
Tl2 0.809 0.809 0.809
I1 0.113 0.660 0.437
I2 0.262 0.568 0.841
I3 0.437 0.113 0.660
I4 0.568 0.841 0.262
I5 0.660 0.437 0.113
I6 0.841 0.262 0.568

***

[9]
First-principles (PBE-GGA) data for CsDyTlI6 after structural relaxation, as listed in Alexandria.

Calculated values
N(E_F)   5.87 states/eV/f.u.
VASP energy   -2.98 eV/atom

Cell: 8.247 8.247 8.289 Å, 90.00 90.00 120.00°
Sites, in units of the cell vectors:
Cs1 0.000 0.000 0.000
Dy1 0.333 0.667 0.500
Tl1 0.667 0.333 0.500
I1 0.020 0.396 0.722
I2 0.020 0.623 0.278
I3 0.377 0.396 0.278
I4 0.377 0.980 0.722
I5 0.604 0.623 0.722
I6 0.604 0.980 0.278

***

[10]
First-principles (PBE-GGA) data for Cs2DyTlI6 after structural relaxation, as listed in Alexandria.

Calculated values
N(E_F)   0.00 states/eV/f.u.
VASP energy   -3.14 eV/atom

Cell: 8.731 9.209 15.334 Å, 90.00 124.41 90.00°
Sites, in units of the cell vectors:
Cs1 0.225 0.075 0.251
Cs2 0.225 0.425 0.751
Cs3 0.775 0.575 0.249
Cs4 0.775 0.925 0.749
Dy1 0.500 0.000 0.000
Dy2 0.500 0.500 0.500
Tl1 0.000 0.000 0.500
Tl2 0.000 0.500 0.000
I1 0.171 0.180 0.957
I2 0.171 0.320 0.457
I3 0.280 0.720 0.957
I4 0.280 0.780 0.457
I5 0.355 0.016 0.767
I6 0.355 0.484 0.267
I7 0.645 0.516 0.733
I8 0.645 0.984 0.233
I9 0.720 0.220 0.543
I10 0.720 0.280 0.043
I11 0.829 0.680 0.543
I12 0.829 0.820 0.043

***

[11]
First-principles (PBE-GGA) data for CsDyVI6 after structural relaxation, as listed in Alexandria.

Calculated values
VASP energy   -3.76 eV/atom

Cell: 7.617 7.617 8.843 Å, 90.00 90.00 120.00°
Sites, in units of the cell vectors:
Cs1 0.000 0.000 0.000
Dy1 0.667 0.333 0.500
V1 0.333 0.667 0.500
I1 0.017 0.375 0.691
I2 0.017 0.642 0.309
I3 0.358 0.375 0.309
I4 0.358 0.983 0.691
I5 0.625 0.642 0.691
I6 0.625 0.983 0.309

***

[12]
First-principles (PBE-GGA) data for CsDyZnI6 after structural relaxation, as listed in Alexandria.

Calculated values
N(E_F)   0.00 states/eV/f.u.
VASP energy   -2.89 eV/atom

Cell: 7.678 7.678 8.797 Å, 90.00 90.00 120.00°
Sites, in units of the cell vectors:
Cs1 0.000 0.000 0.000
Dy1 0.333 0.667 0.500
Zn1 0.667 0.333 0.500
I1 0.377 0.014 0.694
I2 0.377 0.362 0.306
I3 0.638 0.014 0.306
I4 0.638 0.623 0.694
I5 0.986 0.362 0.694
I6 0.986 0.623 0.306

***

[13]
First-principles (PBE-GGA) data for Cs2DyInO4 after structural relaxation, as listed in Alexandria.

Calculated values
N(E_F)   0.00 states/eV/f.u.
VASP energy   -5.41 eV/atom

Cell: 13.140 11.639 7.386 Å, 84.20 61.80 34.00°
Sites, in units of the cell vectors:
Cs1 0.057 0.057 0.693
Cs2 0.307 0.307 0.943
Cs3 0.693 0.693 0.057
Cs4 0.943 0.943 0.307
Dy1 0.125 0.125 0.125
Dy2 0.875 0.875 0.875
In1 0.375 0.375 0.375
In2 0.625 0.625 0.625
O1 0.003 0.333 0.424
O2 0.261 0.576 0.667
O3 0.333 0.003 0.739
O4 0.424 0.739 0.003
O5 0.576 0.261 0.997
O6 0.667 0.997 0.261
O7 0.739 0.424 0.333
O8 0.997 0.667 0.576

***

[14]
First-principles (PBE-GGA) data for Cs2DyInS4 after structural relaxation, as listed in Alexandria.

Calculated values
VASP energy   -4.38 eV/atom

Cell: 8.683 8.683 8.683 Å, 120.65 120.12 89.33°
Sites, in units of the cell vectors:
Cs1 0.000 0.000 0.000
Cs2 0.500 0.000 0.000
Cs3 0.500 0.000 0.500
Cs4 0.500 0.500 0.500
Dy1 0.000 0.000 0.500
Dy2 0.000 0.500 0.000
In1 0.000 0.500 0.500
In2 0.500 0.500 0.000
S1 0.185 0.728 0.456
S2 0.228 0.272 0.956
S3 0.230 0.277 0.548
S4 0.230 0.682 0.952
S5 0.770 0.318 0.048
S6 0.770 0.723 0.452
S7 0.772 0.728 0.044
S8 0.815 0.272 0.544

***

[15]
First-principles (PBE-GGA) data for Cs3Dy2InSe6 after structural relaxation, as listed in Alexandria.

Calculated values
VASP energy   -4.35 eV/atom

Cell: 7.354 7.354 8.731 Å, 98.09 98.09 119.98°
Sites, in units of the cell vectors:
Cs1 0.000 0.000 0.000
Cs2 0.332 0.668 0.000
Cs3 0.668 0.332 0.000
Dy1 0.166 0.834 0.500
Dy2 0.834 0.166 0.500
In1 0.500 0.500 0.500
Se1 0.111 0.439 0.316
Se2 0.233 0.233 0.685
Se3 0.439 0.111 0.316
Se4 0.561 0.889 0.684
Se5 0.767 0.767 0.315
Se6 0.889 0.561 0.684

***

[16]
First-principles (PBE-GGA) data for Cs3Dy2InTe6 after structural relaxation, as listed in Alexandria.

Calculated values
VASP energy   -3.88 eV/atom

Cell: 7.875 7.875 9.298 Å, 98.14 98.14 119.95°
Sites, in units of the cell vectors:
Cs1 0.000 0.000 0.000
Cs2 0.331 0.669 0.000
Cs3 0.669 0.331 0.000
Dy1 0.166 0.834 0.500
Dy2 0.834 0.166 0.500
In1 0.500 0.500 0.500
Te1 0.110 0.438 0.313
Te2 0.234 0.234 0.688
Te3 0.438 0.110 0.313
Te4 0.562 0.890 0.687
Te5 0.766 0.766 0.312
Te6 0.890 0.562 0.687

***

[17]
First-principles (PBE-GGA) data for Cs2Dy2IrO6 after structural relaxation, as listed in Alexandria.

Calculated values
N(E_F)   7.60 states/eV/f.u.
VASP energy   -6.59 eV/atom

Cell: 5.847 5.847 7.176 Å, 97.23 97.23 119.52°
Sites, in units of the cell vectors:
Cs1 0.165 0.835 0.000
Cs2 0.835 0.165 0.000
Dy1 0.335 0.665 0.500
Dy2 0.665 0.335 0.500
Ir1 0.000 0.000 0.500
O1 0.046 0.356 0.654
O2 0.258 0.258 0.344
O3 0.356 0.046 0.654
O4 0.644 0.954 0.346
O5 0.742 0.742 0.656
O6 0.954 0.644 0.346

***

[18]
First-principles (PBE-GGA) data for Cs2DyIrO6 after structural relaxation, as listed in Alexandria.

Calculated values
N(E_F)   6.38 states/eV/f.u.
VASP energy   -6.06 eV/atom

Cell: 6.659 6.659 5.766 Å, 90.00 90.00 120.00°
Sites, in units of the cell vectors:
Cs1 0.333 0.667 0.147
Cs2 0.667 0.333 0.853
Dy1 0.000 0.000 0.500
Ir1 0.000 0.000 0.000
O1 0.132 0.265 0.793
O2 0.132 0.868 0.793
O3 0.265 0.132 0.207
O4 0.735 0.868 0.793
O5 0.868 0.132 0.207
O6 0.868 0.735 0.207

***

[19]
First-principles (PBE-GGA) data for Cs2DyIr3O12 after structural relaxation, as listed in Alexandria.

Calculated values
N(E_F)   10.17 states/eV/f.u.
VASP energy   -6.35 eV/atom

Cell: 7.677 7.677 7.677 Å, 57.01 57.01 57.01°
Sites, in units of the cell vectors:
Cs1 0.115 0.115 0.115
Cs2 0.885 0.885 0.885
Dy1 0.500 0.500 0.500
Ir1 0.000 0.500 0.500
Ir2 0.500 0.000 0.500
Ir3 0.500 0.500 0.000
O1 0.148 0.572 0.572
O2 0.189 0.189 0.582
O3 0.189 0.582 0.189
O4 0.418 0.811 0.811
O5 0.428 0.428 0.852
O6 0.428 0.852 0.428
O7 0.572 0.148 0.572
O8 0.572 0.572 0.148
O9 0.582 0.189 0.189
O10 0.811 0.418 0.811
O11 0.811 0.811 0.418
O12 0.852 0.428 0.428

***

[20]
First-principles (PBE-GGA) data for CsDyIrO6 after structural relaxation, as listed in Alexandria.

Calculated values
N(E_F)   5.44 states/eV/f.u.
VASP energy   -6.37 eV/atom

Cell: 5.660 5.660 6.582 Å, 90.00 90.00 120.00°
Sites, in units of the cell vectors:
Cs1 0.000 0.000 0.000
Dy1 0.333 0.667 0.500
Ir1 0.667 0.333 0.500
O1 0.409 0.046 0.667
O2 0.409 0.362 0.333
O3 0.638 0.046 0.333
O4 0.638 0.591 0.667
O5 0.954 0.362 0.667
O6 0.954 0.591 0.333